Here is an optimized crystal structure of NaGaAs2O6 from the Alexandria database. Energies are from PBE.

Values from the calculation:
Its formation energy without anion corrections is -1374 meV/atom.

```
20
Lattice="5.738 -4.685 0.000 5.738 4.685 0.000 -3.970 0.000 5.790" Properties=species:S:1:pos:R:3 pbc="T T T"
Na 2.761 2.432 4.343
Na 4.746 -2.432 1.448
Ga 4.746 2.776 1.448
Ga 2.761 -2.776 4.343
As -0.017 0.490 4.906
As 1.967 -0.490 2.011
As 5.540 0.490 3.779
As 7.525 -0.490 0.884
O -1.406 0.990 3.944
O 0.679 1.990 5.556
O 0.579 -0.990 1.049
O 1.340 0.395 3.459
O 3.325 -0.395 0.564
O 4.843 1.990 3.129
O 2.664 -1.990 2.661
O 4.183 0.395 5.226
O 6.168 -0.395 2.331
O 6.928 0.990 4.742
O 6.828 -1.990 0.234
O 8.913 -0.990 1.846
```